No. 1
# Hf2AlAgH

A relaxed Hf2AlAgH crystal (PBE, Alexandria).

Properties
- Electronic total energy: -30.7 eV for the cell shown
- Calculated density: 10.392 g/cm3

a = 4.268 Å, b = 4.268 Å, c = 4.323 Å
α = 90.00°, β = 90.00°, γ = 90.00°
Space group P4/mmm (No. 123)
Asymmetric unit:
Hf 0.000 0.500 0.000
Al 0.000 0.000 0.500
Ag 0.500 0.500 0.500
H 0.500 0.500 0.000

***

No. 2
# K2AlAgH6

A relaxed K2AlAgH6 crystal (PBE, Alexandria).

Properties
- Electronic total energy: -60.5 eV for the cell shown
- Calculated density: 2.899 g/cm3

a = 5.797 Å, b = 5.797 Å, c = 7.470 Å
α = 90.00°, β = 90.00°, γ = 90.00°
Space group I4/mmm (No. 139)
Asymmetric unit:
K 0.000 0.500 0.250
Al 0.000 0.000 0.000
Ag 0.000 0.000 0.500
H 0.000 0.000 0.251
H 0.215 0.215 0.000